5
Lattice="4.7200 0.0000 0.0000 0.0000 4.7200 0.0000 0.0000 0.0000 4.7200" Properties=species:S:1:pos:R:3 comment="GGA-PBE Ag3OsS, relaxed" formation_energy_uncorrected_kj_per_mol_atoms=128.5 e_tot_ev_per_fu=-17.25 magmom_total_mub_per_fu=3.0 dos_ef_per_ev_cell=6.75 density_g_cm3=8.6 pbc="T T T"
Ag 0.0000 0.0000 2.3600
Ag 0.0000 2.3600 0.0000
Ag 2.3600 0.0000 0.0000
Os 2.3600 2.3600 2.3600
S 0.0000 0.0000 0.0000